Entry 1
First-principles (PBE with a Hubbard U) data for crystalline LiMg6FeO8 at its relaxed geometry, as listed in the Alexandria database.

Lattice parameters (Å, degrees): 4.2367 4.2367 8.5598 90.00 90.00 90.00
Last column: nearest neighbours and their distance in Å.
Space group P4/mmm (No. 123)
Inequivalent atoms, fractional coordinates:
Li: 0.0000 0.0000 0.0000 (multiplicity 1)  6 O 2.12-2.30
Mg: 0.0000 0.5000 0.2366 (multiplicity 4)  6 O 2.03-2.25
Mg: 0.5000 0.5000 0.0000 (multiplicity 1)  6 O 2.12-2.17
Mg: 0.5000 0.5000 0.5000 (multiplicity 1)  6 O 2.11-2.12
Fe: 0.0000 0.0000 0.5000 (multiplicity 1)  6 O 1.98-2.12
O: 0.0000 0.0000 0.2691 (multiplicity 2)  1 Fe 1.98, 4 Mg 2.14
O: 0.0000 0.5000 0.0000 (multiplicity 2)  4 Mg 2.03-2.12, 2 Li 2.12
O: 0.0000 0.5000 0.5000 (multiplicity 2)  4 Mg 2.12-2.25, 2 Fe 2.12
O: 0.5000 0.5000 0.2537 (multiplicity 2)  6 Mg 2.11-2.17

Calculated values
**ρ**: 3.638 g cm⁻³

=====

Entry 2
First-principles (PBE with a Hubbard U) data for crystalline LiMg6FeO8 at its relaxed geometry, as listed in the Alexandria database.

Lattice parameters (Å, degrees): 4.2100 4.2100 8.5674 90.00 90.00 90.00
Last column: nearest neighbours and their distance in Å.
Space group P4/mmm (No. 123)
Inequivalent atoms, fractional coordinates:
Li: 0.0000 0.0000 0.0000 (multiplicity 1)  6 O 2.11-2.20
Mg: 0.0000 0.0000 0.5000 (multiplicity 1)  6 O 2.08-2.11
Mg: 0.0000 0.5000 0.2478 (multiplicity 4)  6 O 2.11-2.16
Mg: 0.5000 0.5000 0.5000 (multiplicity 1)  6 O 2.11-2.22
Fe: 0.5000 0.5000 0.0000 (multiplicity 1)  6 O 2.06-2.11
O: 0.0000 0.0000 0.2571 (multiplicity 2)  5 Mg 2.08-2.11, 1 Li 2.20
O: 0.0000 0.5000 0.0000 (multiplicity 2)  2 Fe 2.11, 2 Li 2.11, 2 Mg 2.12
O: 0.0000 0.5000 0.5000 (multiplicity 2)  6 Mg 2.11-2.16
O: 0.5000 0.5000 0.2405 (multiplicity 2)  1 Fe 2.06, 5 Mg 2.11-2.22

Calculated values
**ρ**: 3.681 g cm⁻³

=====

Pick the least stable structure from those above. Pick: entry 1